(1)
The following is a PBE calculation of a relaxed HoScPd2 crystal, from Alexandria via LeMat-Bulk.

```
HoScPd2
1.0
-1.037 -1.734 -4.381
-3.890 -2.783 -0.634
-3.810 1.696 -2.426
Sc Ho Pd
1 1 2
Cartesian
-4.368 -1.411 -3.720
0.000 0.000 0.000
-2.184 -0.705 -1.860
-6.552 -2.116 -5.580
```

D(E_F) in states/eV/f.u.: 3.3
ΔH_f (0 K) in meV per atom: -881

***

(2)
The following is a PBE calculation of a relaxed HoSc3Pd4 crystal, from Alexandria via LeMat-Bulk.

```
HoSc3Pd4
1.0
4.534 0.000 1.338
2.069 4.034 1.338
0.007 0.005 8.323
Sc Ho Pd
3 1 4
Cartesian
1.638 1.001 2.800
4.973 3.038 8.200
3.305 2.019 5.500
0.000 0.000 0.000
5.762 3.520 5.524
2.530 1.545 8.127
0.848 0.518 5.476
4.081 2.493 2.873
```

D(E_F) in states/eV/f.u.: 5.5
ΔH_f (0 K) in meV per atom: -889

***

(3)
The following is a PBE calculation of a relaxed HoSc2Pd8 crystal, from Alexandria via LeMat-Bulk.

```
HoSc2Pd8
1.0
-2.450 -2.291 -2.357
4.351 0.421 -4.933
2.901 -4.724 5.143
Ho Sc Pd
1 2 8
Cartesian
-1.225 -1.146 -1.178
1.166 -4.289 -0.608
3.635 -2.305 -1.538
3.704 -4.506 0.531
3.351 -2.881 -4.248
3.463 -4.972 -2.332
1.539 -6.405 1.062
1.339 -1.623 0.186
1.451 -3.714 2.102
1.098 -2.088 -2.677
3.263 -0.190 -3.208
```

D(E_F) in states/eV/f.u.: 5.4
ΔH_f (0 K) in meV per atom: -783

***

(4)
The following is a PBE calculation of a relaxed HoSc2Pd9 crystal, from Alexandria via LeMat-Bulk.

```
HoSc2Pd9
1.0
4.049 0.000 0.000
0.000 4.049 0.000
0.000 0.000 12.105
Ho Sc Pd
1 2 9
Cartesian
0.000 0.000 0.000
0.000 0.000 4.071
0.000 0.000 8.034
2.025 2.025 0.000
2.025 2.025 4.074
2.025 2.025 8.031
2.025 0.000 2.099
2.025 0.000 6.052
2.025 0.000 10.006
0.000 2.025 2.099
0.000 2.025 6.052
0.000 2.025 10.006
```

D(E_F) in states/eV/f.u.: 10.9
ΔH_f (0 K) in meV per atom: -849